(1)
The following is a PBE-GGA calculation of crystalline Y2HoTh3Bi6 at its relaxed geometry, from Alexandria via LeMat-Bulk.

Properties
DOS at the Fermi energy, states/eV per atom: 0.553
Magnetization, μB per formula unit: 0.0
VASP energy, eV per cell: -71.7

Lattice parameters (Å, degrees): 4.546 9.047 10.142 102.66 102.95 90.00
Fractional positions:
Bi  0.669  0.578  0.337
Bi  0.664  0.088  0.328
Bi  0.331  0.422  0.663
Bi  0.002  0.244  0.004
Bi  0.998  0.756  0.996
Bi  0.336  0.912  0.672
Th  0.500  0.500  0.000
Th  0.833  0.167  0.666
Th  0.167  0.833  0.334
Y  0.167  0.333  0.333
Y  0.833  0.667  0.667
Ho  0.500  0.000  0.000

=====

(2)
The following is a PBE-GGA calculation of crystalline Y3HoTh2Bi6 at its relaxed geometry, from Alexandria via LeMat-Bulk.

Properties
DOS at the Fermi energy, states/eV per atom: 0.262
Magnetization, μB per formula unit: 0.0
VASP energy, eV per cell: -71.5

Lattice parameters (Å, degrees): 7.841 7.841 7.810 99.63 99.63 120.08
Fractional positions:
Bi  0.241  0.241  0.742
Bi  0.412  0.084  0.254
Bi  0.588  0.916  0.746
Bi  0.759  0.759  0.258
Bi  0.916  0.588  0.746
Bi  0.084  0.412  0.254
Y  0.830  0.170  0.500
Y  0.500  0.500  0.500
Y  0.170  0.830  0.500
Th  0.665  0.335  0.000
Th  0.335  0.665  0.000
Ho  0.000  0.000  0.000

=====

(3)
The following is a PBE-GGA calculation of crystalline HoTiBi2 at its relaxed geometry, from Alexandria via LeMat-Bulk.

Properties
Offset from the most stable computed form, eV per atom: 0.0000
DOS at the Fermi energy, states/eV per atom: 0.810
Magnetization, μB per formula unit: 1.4
VASP energy, eV per cell: -21.2

Lattice parameters (Å, degrees): 3.606 3.606 7.860 90.00 90.00 90.00
Site moments in Bohr magnetons follow the coordinates.
Fractional positions:
Bi  0.000  0.000  0.223  -0.03
Bi  0.000  0.000  0.777  -0.03
Ti  0.500  0.500  0.000  0.89
Ho  0.500  0.500  0.500  0.21

=====

(4)
The following is a PBE-GGA calculation of crystalline HoTiBi2 at its relaxed geometry, from Alexandria via LeMat-Bulk.

Properties
Offset from the most stable computed form, eV per atom: 0.2808
DOS at the Fermi energy, states/eV per atom: 1.084
Magnetization, μB per formula unit: 0.0
VASP energy, eV per cell: -20.1

Lattice parameters (Å, degrees): 3.478 3.478 10.949 80.86 80.86 60.00
Fractional positions:
Ho  0.000  0.000  0.000
Bi  0.099  0.099  0.703
Bi  0.901  0.901  0.297
Ti  0.500  0.500  0.500

=====

(5)
The following is a PBE-GGA calculation of crystalline Ho4TlBi3 at its relaxed geometry, from Alexandria via LeMat-Bulk.

Properties
DOS at the Fermi energy, states/eV per atom: 0.412
Magnetization, μB per formula unit: 0.0
VASP energy, eV per cell: -37.3

Lattice parameters (Å, degrees): 6.289 6.289 6.289 90.00 90.00 90.00
Fractional positions:
Ho  0.500  0.500  0.500
Ho  0.000  0.000  0.500
Ho  0.000  0.500  0.000
Ho  0.500  0.000  0.000
Bi  0.500  0.000  0.500
Bi  0.500  0.500  0.000
Bi  0.000  0.500  0.500
Tl  0.000  0.000  0.000

=====

(6)
The following is a PBE-GGA calculation of crystalline Ho6Tl6Bi at its relaxed geometry, from Alexandria via LeMat-Bulk.

Properties
DOS at the Fermi energy, states/eV per atom: 0.875
Magnetization, μB per formula unit: 0.0
VASP energy, eV per cell: -48.3

Lattice parameters (Å, degrees): 6.510 6.510 10.297 90.00 90.00 120.01
Fractional positions:
Ho  0.333  0.667  0.500
Ho  0.333  0.667  0.000
Ho  0.667  0.333  0.500
Ho  0.667  0.333  0.000
Ho  0.000  0.000  0.307
Ho  0.000  0.000  0.693
Tl  0.500  0.500  0.252
Tl  0.000  0.500  0.252
Tl  0.500  0.500  0.748
Tl  0.500  0.000  0.252
Tl  0.500  0.000  0.748
Tl  0.000  0.500  0.748
Bi  0.000  0.000  0.000

=====

(7)
The following is a PBE-GGA calculation of crystalline Ho4TlBi2 at its relaxed geometry, from Alexandria via LeMat-Bulk.

Properties
DOS at the Fermi energy, states/eV per atom: 0.832
Magnetization, μB per formula unit: 0.0
VASP energy, eV per cell: -62.3

Lattice parameters (Å, degrees): 6.091 6.678 10.497 90.00 102.61 90.00
Fractional positions:
Ho  0.544  0.504  0.261
Ho  0.456  0.496  0.739
Ho  0.863  0.250  0.546
Ho  0.456  0.004  0.739
Ho  0.137  0.750  0.454
Ho  0.544  0.996  0.261
Ho  0.006  0.750  0.839
Ho  0.994  0.250  0.161
Tl  0.070  0.750  0.163
Tl  0.930  0.250  0.837
Bi  0.568  0.750  0.999
Bi  0.311  0.250  0.459
Bi  0.689  0.750  0.541
Bi  0.432  0.250  0.001

=====

(8)
The following is a PBE-GGA calculation of crystalline Ho6Tl5Bi at its relaxed geometry, from Alexandria via LeMat-Bulk.

Properties
Offset from the most stable computed form, eV per atom: 0.0000
DOS at the Fermi energy, states/eV per atom: 0.785
Magnetization, μB per formula unit: 0.0
VASP energy, eV per cell: -47.5

Lattice parameters (Å, degrees): 9.931 5.045 8.003 71.63 80.79 59.49
Fractional positions:
Ho  0.746  0.087  0.334
Ho  0.254  0.580  0.334
Ho  0.254  0.913  0.666
Ho  0.747  0.753  0.000
Ho  0.253  0.247  0.000
Ho  0.746  0.420  0.666
Tl  0.500  0.500  0.000
Tl  0.500  0.833  0.333
Tl  0.000  0.328  0.345
Tl  0.000  0.672  0.655
Tl  0.500  0.167  0.667
Bi  0.000  0.000  0.000

=====

(9)
The following is a PBE-GGA calculation of crystalline Ho12Tl5Bi3 at its relaxed geometry, from Alexandria via LeMat-Bulk.

Properties
DOS at the Fermi energy, states/eV per atom: 0.962
Magnetization, μB per formula unit: 0.0
VASP energy, eV per cell: -307.6

Lattice parameters (Å, degrees): 15.483 15.483 15.483 109.47 109.47 109.47
Fractional positions:
Ho  0.420  0.055  0.335
Ho  0.135  0.720  0.555
Ho  0.085  0.165  0.220
Ho  0.335  0.780  0.415
Ho  0.865  0.280  0.445
Ho  0.920  0.835  0.555
Ho  0.865  0.585  0.920
Ho  0.365  0.945  0.780
Ho  0.720  0.585  0.165
Ho  0.055  0.635  0.720
Ho  0.720  0.135  0.055
Ho  0.665  0.220  0.585
Ho  0.445  0.780  0.865
Ho  0.835  0.915  0.280
Ho  0.280  0.865  0.945
Ho  0.365  0.420  0.085
Ho  0.415  0.280  0.335
Ho  0.415  0.135  0.580
Ho  0.080  0.165  0.445
Ho  0.280  0.415  0.835
Ho  0.945  0.580  0.165
Ho  0.080  0.915  0.135
Ho  0.780  0.335  0.915
Ho  0.580  0.635  0.415
Ho  0.420  0.365  0.585
Ho  0.585  0.720  0.665
Ho  0.165  0.080  0.945
Ho  0.915  0.080  0.635
Ho  0.055  0.420  0.835
Ho  0.135  0.415  0.080
Ho  0.835  0.920  0.055
Ho  0.220  0.665  0.085
Ho  0.165  0.085  0.720
Ho  0.920  0.085  0.865
Ho  0.635  0.580  0.915
Ho  0.635  0.055  0.220
Ho  0.580  0.945  0.665
Ho  0.220  0.555  0.635
Ho  0.585  0.865  0.420
Ho  0.085  0.920  0.365
Ho  0.335  0.555  0.420
Ho  0.445  0.665  0.080
Ho  0.945  0.365  0.280
Ho  0.555  0.220  0.135
Ho  0.555  0.335  0.920
Ho  0.915  0.835  0.780
Ho  0.665  0.445  0.580
Ho  0.780  0.445  0.365
Tl  0.000  0.000  0.000
Tl  0.125  0.375  0.250
Tl  0.375  0.250  0.125
Tl  0.500  0.500  0.000
Tl  0.000  0.000  0.500
Tl  0.250  0.875  0.125
Tl  0.125  0.750  0.375
Tl  0.000  0.500  0.000
Tl  0.750  0.125  0.875
Tl  0.625  0.875  0.250
Tl  0.500  0.000  0.500
Tl  0.750  0.625  0.375
Tl  0.875  0.625  0.750
Tl  0.500  0.500  0.500
Tl  0.500  0.000  0.000
Tl  0.000  0.500  0.500
Tl  0.875  0.250  0.625
Tl  0.375  0.125  0.750
Tl  0.625  0.750  0.875
Tl  0.250  0.375  0.625
Bi  0.625  0.375  0.750
Bi  0.250  0.125  0.375
Bi  0.125  0.875  0.750
Bi  0.375  0.750  0.625
Bi  0.375  0.625  0.250
Bi  0.625  0.250  0.375
Bi  0.750  0.375  0.125
Bi  0.875  0.125  0.250
Bi  0.125  0.250  0.875
Bi  0.875  0.750  0.125
Bi  0.750  0.875  0.625
Bi  0.250  0.625  0.875

=====

(10)
The following is a PBE-GGA calculation of crystalline Ho5Tl2Bi2 at its relaxed geometry, from Alexandria via LeMat-Bulk.

Properties
Offset from the most stable computed form, eV per atom: 0.2431
DOS at the Fermi energy, states/eV per atom: 0.938
Magnetization, μB per formula unit: 0.0
VASP energy, eV per cell: -76.6

Lattice parameters (Å, degrees): 6.467 8.897 10.785 114.36 107.45 90.00
Fractional positions:
Ho  0.554  0.512  0.319
Ho  0.059  0.140  0.833
Ho  0.727  0.808  0.167
Ho  0.142  0.760  0.500
Ho  0.265  0.012  0.319
Ho  0.735  0.693  0.681
Ho  0.273  0.640  0.833
Ho  0.446  0.193  0.681
Ho  0.941  0.308  0.167
Ho  0.858  0.260  0.500
Bi  0.500  0.429  0.000
Bi  0.317  0.409  0.500
Bi  0.683  0.909  0.500
Bi  0.000  0.929  0.000
Tl  0.150  0.623  0.160
Tl  0.850  0.463  0.840
Tl  0.490  0.963  0.840
Tl  0.510  0.123  0.160

=====

(11)
The following is a PBE-GGA calculation of crystalline Ho3TlBi at its relaxed geometry, from Alexandria via LeMat-Bulk.

Properties
DOS at the Fermi energy, states/eV per atom: 0.854
Magnetization, μB per formula unit: 0.0
VASP energy, eV per cell: -43.8

Lattice parameters (Å, degrees): 4.697 9.287 11.255 111.48 65.36 139.35
Fractional positions:
Ho  0.902  0.288  0.530
Ho  0.920  0.328  0.072
Ho  0.098  0.712  0.470
Ho  0.253  0.060  0.837
Ho  0.080  0.672  0.928
Ho  0.747  0.940  0.163
Tl  0.715  0.906  0.644
Tl  0.285  0.094  0.356
Bi  0.410  0.440  0.751
Bi  0.590  0.560  0.249

=====

(12)
The following is a PBE-GGA calculation of crystalline Ho12Tl5Bi2 at its relaxed geometry, from Alexandria via LeMat-Bulk.

Properties
DOS at the Fermi energy, states/eV per atom: 0.894
Magnetization, μB per formula unit: 0.0
VASP energy, eV per cell: -77.1

Lattice parameters (Å, degrees): 7.283 9.270 10.050 100.69 90.00 113.13
Fractional positions:
Ho  0.924  0.361  0.106
Ho  0.563  0.639  0.894
Ho  0.409  0.293  0.551
Ho  0.510  0.019  0.288
Ho  0.899  0.799  0.190
Ho  0.591  0.707  0.449
Ho  0.076  0.639  0.894
Ho  0.490  0.981  0.712
Ho  0.116  0.707  0.449
Ho  0.101  0.201  0.810
Ho  0.437  0.361  0.106
Ho  0.884  0.293  0.551
Tl  0.000  0.000  0.500
Tl  0.288  0.577  0.650
Tl  0.672  0.343  0.825
Tl  0.712  0.423  0.350
Tl  0.328  0.657  0.175
Bi  0.243  0.000  0.000
Bi  0.757  0.000  0.000

=====

(13)
The following is a PBE-GGA calculation of crystalline Ho7Tl2Bi2 at its relaxed geometry, from Alexandria via LeMat-Bulk.

Properties
DOS at the Fermi energy, states/eV per atom: 1.355
Magnetization, μB per formula unit: 0.0
VASP energy, eV per cell: -45.8

Lattice parameters (Å, degrees): 6.907 7.698 6.907 90.00 105.65 90.00
Fractional positions:
Tl  0.820  0.500  0.820
Tl  0.180  0.500  0.180
Bi  0.713  0.000  0.287
Bi  0.287  0.000  0.713
Ho  0.500  0.286  0.000
Ho  0.000  0.286  0.500
Ho  0.500  0.714  0.000
Ho  0.000  0.000  0.000
Ho  0.000  0.714  0.500
Ho  0.500  0.274  0.500
Ho  0.500  0.726  0.500

=====

(14)
The following is a PBE-GGA calculation of crystalline Ho4TlBi at its relaxed geometry, from Alexandria via LeMat-Bulk.

Properties
DOS at the Fermi energy, states/eV per atom: 1.263
Magnetization, μB per formula unit: 0.0
VASP energy, eV per cell: -53.1

Lattice parameters (Å, degrees): 6.640 9.156 7.882 113.28 99.52 116.13
Fractional positions:
Tl  0.742  0.992  0.985
Tl  0.258  0.008  0.015
Ho  0.116  0.206  0.807
Ho  0.658  0.100  0.387
Ho  0.192  0.601  0.807
Ho  0.342  0.900  0.613
Ho  0.884  0.794  0.193
Ho  0.771  0.713  0.613
Ho  0.808  0.399  0.193
Ho  0.229  0.287  0.387
Bi  0.361  0.611  0.223
Bi  0.639  0.389  0.777

=====

(15)
The following is a PBE-GGA calculation of crystalline Ho8TlBi2 at its relaxed geometry, from Alexandria via LeMat-Bulk.

Properties
DOS at the Fermi energy, states/eV per atom: 1.152
Magnetization, μB per formula unit: 0.0
VASP energy, eV per cell: -50.0

Lattice parameters (Å, degrees): 5.179 6.940 9.510 87.52 105.80 90.00
Fractional positions:
Bi  0.838  0.174  0.676
Bi  0.162  0.826  0.324
Ho  0.969  0.747  0.938
Ho  0.337  0.910  0.673
Ho  0.663  0.090  0.327
Ho  0.592  0.559  0.183
Ho  0.408  0.441  0.817
Ho  0.786  0.620  0.572
Ho  0.214  0.380  0.428
Ho  0.031  0.253  0.062
Tl  0.500  0.000  0.000

=====

(16)
The following is a PBE-GGA calculation of crystalline Ho5Tl2Bi2 at its relaxed geometry, from Alexandria via LeMat-Bulk.

Properties
Offset from the most stable computed form, eV per atom: 0.0000
DOS at the Fermi energy, states/eV per atom: 0.750
Magnetization, μB per formula unit: 0.0
VASP energy, eV per cell: -81.0

Lattice parameters (Å, degrees): 8.196 8.192 8.868 117.51 90.00 90.00
Fractional positions:
Tl  0.366  0.135  0.000
Tl  0.866  0.365  0.000
Tl  0.634  0.865  0.000
Tl  0.134  0.635  0.000
Ho  0.835  0.534  0.734
Ho  0.835  0.800  0.266
Ho  0.000  0.000  0.000
Ho  0.335  0.966  0.266
Ho  0.665  0.034  0.734
Ho  0.500  0.500  0.000
Ho  0.335  0.700  0.734
Ho  0.165  0.466  0.266
Ho  0.165  0.200  0.734
Ho  0.665  0.300  0.266
Bi  0.500  0.705  0.410
Bi  0.000  0.795  0.590
Bi  0.000  0.205  0.410
Bi  0.500  0.295  0.590

=====

(17)
The following is a PBE-GGA calculation of crystalline Ho5TlBi4 at its relaxed geometry, from Alexandria via LeMat-Bulk.

Properties
DOS at the Fermi energy, states/eV per atom: 0.641
Magnetization, μB per formula unit: 0.0
VASP energy, eV per cell: -47.3

Lattice parameters (Å, degrees): 6.281 7.708 7.708 80.44 65.96 65.96
Fractional positions:
Ho  0.899  0.404  0.801
Ho  0.303  0.801  0.596
Ho  0.699  0.199  0.404
Ho  0.502  0.000  0.000
Ho  0.103  0.596  0.199
Bi  0.600  0.601  0.201
Bi  0.801  0.799  0.601
Bi  0.402  0.399  0.799
Bi  0.201  0.201  0.399
Tl  0.002  0.000  0.000

=====

(18)
The following is a PBE-GGA calculation of crystalline Ho6Tl5Bi at its relaxed geometry, from Alexandria via LeMat-Bulk.

Properties
Offset from the most stable computed form, eV per atom: 0.0117
DOS at the Fermi energy, states/eV per atom: 0.697
Magnetization, μB per formula unit: 0.0
VASP energy, eV per cell: -47.3

Lattice parameters (Å, degrees): 5.444 9.393 9.393 121.62 106.80 106.81
Fractional positions:
Tl  0.500  0.500  0.500
Tl  0.000  0.336  0.664
Tl  0.000  0.664  0.336
Tl  0.500  0.828  0.172
Tl  0.500  0.172  0.828
Ho  0.249  0.082  0.416
Ho  0.249  0.416  0.082
Ho  0.252  0.752  0.752
Ho  0.748  0.248  0.248
Ho  0.751  0.918  0.584
Ho  0.751  0.584  0.918
Bi  0.000  0.000  0.000